This record from Alexandria describes a crystal of SrLiAu2 relaxed with PBEsol. The functional is SCAN.

a b c (Å): 4.504 4.504 15.558
angles (deg): 90.00 90.00 120.00
Fractional coordinates of all 12 atoms:
Sr  0.000  0.000  0.000
Sr  0.333  0.667  0.667
Sr  0.667  0.333  0.333
Li  0.000  0.000  0.500
Li  0.333  0.667  0.167
Li  0.667  0.333  0.833
Au  0.000  0.000  0.206
Au  0.000  0.000  0.794
Au  0.333  0.667  0.460
Au  0.333  0.667  0.873
Au  0.667  0.333  0.127
Au  0.667  0.333  0.540

## Properties
ΔE to the lowest computed polymorph: 0 meV/atom
Space-group type: R-3m
Calculated formation energy: -3.28 eV/f.u.
D(E_F): 3.1 states/eV/cell

---

This record from Alexandria describes a crystal of Sr2LiAu relaxed with PBEsol. The functional is SCAN.

a b c (Å): 4.535 4.562 11.897
angles (deg): 90.00 90.00 90.00
Fractional coordinates of all 8 atoms:
Sr  0.000  0.000  0.000
Sr  0.000  0.500  0.500
Sr  0.500  0.000  0.285
Sr  0.500  0.500  0.785
Li  0.000  0.000  0.693
Li  0.000  0.500  0.193
Au  0.500  0.000  0.577
Au  0.500  0.500  0.077

## Properties
ΔE to the lowest computed polymorph: 0 meV/atom
Space-group type: Amm2
Calculated formation energy: -2.07 eV/f.u.
D(E_F): 4.9 states/eV/cell

---

This record from Alexandria describes a crystal of Sr3LiAu relaxed with PBEsol. The functional is SCAN.

a b c (Å): 6.020 6.020 6.020
angles (deg): 90.00 90.00 90.00
Fractional coordinates of all 5 atoms:
Sr  0.000  0.000  0.500
Sr  0.000  0.500  0.000
Sr  0.500  0.000  0.000
Li  0.500  0.500  0.500
Au  0.000  0.000  0.000

## Properties
Space-group type: Pm-3m
Calculated formation energy: -1.85 eV/f.u.
D(E_F): 2.9 states/eV/cell

---

This record from Alexandria describes a crystal of Sr2LiAu relaxed with PBEsol. The functional is SCAN.

a b c (Å): 7.724 7.724 7.724
angles (deg): 90.00 90.00 90.00
Fractional coordinates of all 16 atoms:
Sr  0.250  0.250  0.250
Sr  0.250  0.250  0.750
Sr  0.250  0.750  0.250
Sr  0.250  0.750  0.750
Sr  0.750  0.250  0.250
Sr  0.750  0.250  0.750
Sr  0.750  0.750  0.250
Sr  0.750  0.750  0.750
Li  0.000  0.000  0.000
Li  0.000  0.500  0.500
Li  0.500  0.000  0.500
Li  0.500  0.500  0.000
Au  0.000  0.000  0.500
Au  0.000  0.500  0.000
Au  0.500  0.000  0.000
Au  0.500  0.500  0.500

## Properties
ΔE to the lowest computed polymorph: 86 meV/atom
Space-group type: Fm-3m
Calculated formation energy: -1.73 eV/f.u.
D(E_F): 13.3 states/eV/cell